Record 1
Compound: Rb2SbAuSe4
Source: Alexandria
Functional: PBE
Structure: relaxed

Computed properties:
energy relative to the elements, uncorrected = -0.50 eV per atom

The structure in CIF format:
```
data_Rb2SbAuSe4
_chemical_formula_sum 'Rb4 Sb2 Au2 Se8'
_cell_length_a 14.439
_cell_length_b 13.017
_cell_length_c 7.776
_cell_angle_alpha 83.93
_cell_angle_beta 63.69
_cell_angle_gamma 32.38
_symmetry_space_group_name_H-M 'P 1'
_symmetry_Int_Tables_number 1
loop_
_symmetry_equiv_pos_as_xyz
'x,y,z'
loop_
_atom_site_label
_atom_site_type_symbol
_atom_site_fract_x
_atom_site_fract_y
_atom_site_fract_z
Rb1 Rb 0.059 0.059 0.691
Rb2 Rb 0.309 0.309 0.941
Rb3 Rb 0.691 0.691 0.059
Rb4 Rb 0.941 0.941 0.309
Sb1 Sb 0.375 0.375 0.375
Sb2 Sb 0.625 0.625 0.625
Au1 Au 0.125 0.125 0.125
Au2 Au 0.875 0.875 0.875
Se1 Se 0.011 0.351 0.452
Se2 Se 0.314 0.548 0.649
Se3 Se 0.351 0.011 0.686
Se4 Se 0.452 0.686 0.011
Se5 Se 0.548 0.314 0.989
Se6 Se 0.649 0.989 0.314
Se7 Se 0.686 0.452 0.351
Se8 Se 0.989 0.649 0.548
```

=====

Record 2
Compound: LiAl2
Source: Alexandria
Functional: PBE
Structure: relaxed

Computed properties:
distance to the lowest polymorph of the same formula = 17 meV/atom
formation energy = -8.95 kJ per mole of atoms

The structure in CIF format:
```
data_LiAl2
_chemical_formula_sum 'Li2 Al4'
_cell_length_a 7.361
_cell_length_b 7.361
_cell_length_c 4.541
_cell_angle_alpha 90.00
_cell_angle_beta 90.00
_cell_angle_gamma 156.54
_symmetry_space_group_name_H-M 'P 1'
_symmetry_Int_Tables_number 1
loop_
_symmetry_equiv_pos_as_xyz
'x,y,z'
loop_
_atom_site_label
_atom_site_type_symbol
_atom_site_fract_x
_atom_site_fract_y
_atom_site_fract_z
Li1 Li 0.109 0.891 0.750
Li2 Li 0.891 0.109 0.250
Al1 Al 0.222 0.778 0.250
Al2 Al 0.444 0.556 0.750
Al3 Al 0.556 0.444 0.250
Al4 Al 0.778 0.222 0.750
```

=====

Record 3
Compound: Tb3Nd5Y3
Source: Alexandria
Functional: PBE
Structure: relaxed

Computed properties:
distance to the lowest polymorph of the same formula = 0 meV/atom
formation energy = 12.96 kJ per mole of atoms

The structure in CIF format:
```
data_Tb3Nd5Y3
_chemical_formula_sum 'Tb3 Nd5 Y3'
_cell_length_a 3.654
_cell_length_b 11.290
_cell_length_c 11.290
_cell_angle_alpha 124.92
_cell_angle_beta 90.00
_cell_angle_gamma 90.00
_symmetry_space_group_name_H-M 'P 1'
_symmetry_Int_Tables_number 1
loop_
_symmetry_equiv_pos_as_xyz
'x,y,z'
loop_
_atom_site_label
_atom_site_type_symbol
_atom_site_fract_x
_atom_site_fract_y
_atom_site_fract_z
Tb1 Tb 0.000 0.000 0.000
Tb2 Tb 0.500 0.269 0.719
Tb3 Tb 0.500 0.719 0.269
Nd1 Nd 0.000 0.037 0.354
Nd2 Nd 0.000 0.354 0.037
Nd3 Nd 0.000 0.630 0.955
Nd4 Nd 0.000 0.955 0.630
Nd5 Nd 0.500 0.726 0.726
Y1 Y 0.000 0.410 0.579
Y2 Y 0.000 0.579 0.410
Y3 Y 0.500 0.269 0.269
```

=====

Record 4
Compound: TaMnPt2
Source: Alexandria
Functional: PBE
Structure: relaxed

Computed properties:
formation energy = -29.95 kJ per mole of atoms

The structure in CIF format:
```
data_TaMnPt2
_chemical_formula_sum 'Ta1 Mn1 Pt2'
_cell_length_a 4.807
_cell_length_b 4.807
_cell_length_c 4.873
_cell_angle_alpha 100.58
_cell_angle_beta 100.58
_cell_angle_gamma 34.46
_symmetry_space_group_name_H-M 'P 1'
_symmetry_Int_Tables_number 1
loop_
_symmetry_equiv_pos_as_xyz
'x,y,z'
loop_
_atom_site_label
_atom_site_type_symbol
_atom_site_fract_x
_atom_site_fract_y
_atom_site_fract_z
Ta1 Ta 0.000 0.000 0.000
Mn1 Mn 0.500 0.500 0.500
Pt1 Pt 0.245 0.245 0.745
Pt2 Pt 0.755 0.755 0.255
```

=====

Record 5
Compound: Cs3In2Te4
Source: Alexandria
Functional: PBE
Structure: relaxed

Computed properties:
energy relative to the elements, uncorrected = -0.77 eV per atom

The structure in CIF format:
```
data_Cs3In2Te4
_chemical_formula_sum 'Cs6 In4 Te8'
_cell_length_a 10.053
_cell_length_b 10.053
_cell_length_c 9.224
_cell_angle_alpha 96.47
_cell_angle_beta 96.47
_cell_angle_gamma 77.59
_symmetry_space_group_name_H-M 'P 1'
_symmetry_Int_Tables_number 1
loop_
_symmetry_equiv_pos_as_xyz
'x,y,z'
loop_
_atom_site_label
_atom_site_type_symbol
_atom_site_fract_x
_atom_site_fract_y
_atom_site_fract_z
Cs1 Cs 0.111 0.889 0.750
Cs2 Cs 0.237 0.490 0.394
Cs3 Cs 0.490 0.237 0.894
Cs4 Cs 0.510 0.763 0.106
Cs5 Cs 0.763 0.510 0.606
Cs6 Cs 0.889 0.111 0.250
In1 In 0.085 0.322 0.928
In2 In 0.322 0.085 0.428
In3 In 0.678 0.915 0.572
In4 In 0.915 0.678 0.072
Te1 Te 0.113 0.234 0.612
Te2 Te 0.193 0.572 0.991
Te3 Te 0.234 0.113 0.112
Te4 Te 0.428 0.807 0.509
Te5 Te 0.572 0.193 0.491
Te6 Te 0.766 0.887 0.888
Te7 Te 0.807 0.428 0.009
Te8 Te 0.887 0.766 0.388
```

=====

Record 6
Compound: Tb6YHo2Pu
Source: Alexandria
Functional: PBE
Structure: relaxed

Computed properties:
formation energy = 18.35 kJ per mole of atoms

The structure in CIF format:
```
data_Tb6YHo2Pu
_chemical_formula_sum 'Tb12 Y2 Ho4 Pu2'
_cell_length_a 8.619
_cell_length_b 8.619
_cell_length_c 9.185
_cell_angle_alpha 92.25
_cell_angle_beta 92.25
_cell_angle_gamma 68.54
_symmetry_space_group_name_H-M 'P 1'
_symmetry_Int_Tables_number 1
loop_
_symmetry_equiv_pos_as_xyz
'x,y,z'
loop_
_atom_site_label
_atom_site_type_symbol
_atom_site_fract_x
_atom_site_fract_y
_atom_site_fract_z
Tb1 Tb 0.016 0.817 0.602
Tb2 Tb 0.131 0.600 0.995
Tb3 Tb 0.183 0.984 0.898
Tb4 Tb 0.229 0.490 0.414
Tb5 Tb 0.400 0.869 0.505
Tb6 Tb 0.490 0.229 0.914
Tb7 Tb 0.510 0.771 0.086
Tb8 Tb 0.600 0.131 0.495
Tb9 Tb 0.771 0.510 0.586
Tb10 Tb 0.817 0.016 0.102
Tb11 Tb 0.869 0.400 0.005
Tb12 Tb 0.984 0.183 0.398
Y1 Y 0.432 0.568 0.750
Y2 Y 0.568 0.432 0.250
Ho1 Ho 0.161 0.309 0.700
Ho2 Ho 0.309 0.161 0.200
Ho3 Ho 0.691 0.839 0.800
Ho4 Ho 0.839 0.691 0.300
Pu1 Pu 0.177 0.823 0.250
Pu2 Pu 0.823 0.177 0.750
```

=====

Record 7
Compound: CaNp2N4
Source: Alexandria
Functional: PBE
Structure: relaxed

Computed properties:
distance to the lowest polymorph of the same formula = 0 meV/atom
energy relative to the elements, uncorrected = -1.08 eV per atom

The structure in CIF format:
```
data_CaNp2N4
_chemical_formula_sum 'Ca2 Np4 N8'
_cell_length_a 5.866
_cell_length_b 5.866
_cell_length_c 10.549
_cell_angle_alpha 90.00
_cell_angle_beta 90.00
_cell_angle_gamma 146.11
_symmetry_space_group_name_H-M 'P 1'
_symmetry_Int_Tables_number 1
loop_
_symmetry_equiv_pos_as_xyz
'x,y,z'
loop_
_atom_site_label
_atom_site_type_symbol
_atom_site_fract_x
_atom_site_fract_y
_atom_site_fract_z
Ca1 Ca 0.104 0.896 0.750
Ca2 Ca 0.896 0.104 0.250
Np1 Np 0.368 0.632 0.570
Np2 Np 0.368 0.632 0.930
Np3 Np 0.632 0.368 0.070
Np4 Np 0.632 0.368 0.430
N1 N 0.000 0.000 0.000
N2 N 0.000 0.000 0.500
N3 N 0.265 0.735 0.100
N4 N 0.265 0.735 0.400
N5 N 0.451 0.549 0.750
N6 N 0.549 0.451 0.250
N7 N 0.735 0.265 0.600
N8 N 0.735 0.265 0.900
```

=====

Record 8
Compound: Hf6GeC
Source: Alexandria
Functional: PBE
Structure: relaxed

Computed properties:
formation energy = -20.07 kJ per mole of atoms

The structure in CIF format:
```
data_Hf6GeC
_chemical_formula_sum 'Hf6 Ge1 C1'
_cell_length_a 6.528
_cell_length_b 6.528
_cell_length_c 6.528
_cell_angle_alpha 53.00
_cell_angle_beta 53.00
_cell_angle_gamma 53.00
_symmetry_space_group_name_H-M 'P 1'
_symmetry_Int_Tables_number 1
loop_
_symmetry_equiv_pos_as_xyz
'x,y,z'
loop_
_atom_site_label
_atom_site_type_symbol
_atom_site_fract_x
_atom_site_fract_y
_atom_site_fract_z
Hf1 Hf 0.092 0.455 0.728
Hf2 Hf 0.272 0.908 0.545
Hf3 Hf 0.455 0.728 0.092
Hf4 Hf 0.545 0.272 0.908
Hf5 Hf 0.728 0.092 0.455
Hf6 Hf 0.908 0.545 0.272
Ge1 Ge 0.000 0.000 0.000
C1 C 0.500 0.500 0.500
```

=====

Per-record electronic total energy, eV for the cell shown: -54.549 -19.354 -55.645 -34.346 -55.077 -111.662 -137.455 -75.226